# 1
PuZrI: optimized geometry, PBE-GGA.

The structure in POSCAR format:
```
PuZrI
1.0
-0.7904 2.8417 2.5469
-3.3777 0.6896 -1.8173
-3.5514 -10.5201 7.2934
Zr I Pu
2 2 2
Cartesian
-3.4121 2.2326 0.9219 Zr
-4.3073 -9.2214 7.1011 Zr
-2.6038 -6.7432 4.8690 I
-5.1156 -0.2456 3.1539 I
-2.2408 -0.8633 1.7542 Pu
-5.4787 -6.1255 6.2688 Pu
```

Symmetry = C2/m, No. 12
Formation energy from raw total energies = -0.274 eV/atom



# 2
PuZrI5: optimized geometry, PBE-GGA.

The structure in POSCAR format:
```
PuZrI5
1.0
-3.6968 1.1286 0.8323
-1.9397 0.3387 -9.0750
-4.5333 -14.9304 0.1104
I Zr Pu
10 2 2
Cartesian
-2.8536 -0.4572 -7.3591 I
-2.1716 -1.5150 -2.8953 I
-4.9489 -10.0957 -3.5960 I
-5.3383 -5.8173 -1.7355 I
-7.9983 -11.9481 -5.2371 I
-2.2911 -4.0663 0.0332 I
-7.8788 -9.3968 -8.1656 I
-4.8316 -7.6457 -6.3969 I
-5.2209 -3.3674 -4.5363 I
-7.3163 -13.0059 -0.7732 I
-7.1487 -9.1134 -5.3071 Zr
-3.0212 -4.3497 -2.8252 Zr
-3.5359 -1.1443 -0.0663 Pu
-6.6340 -12.3188 -8.0660 Pu
```

Symmetry = P2_1/m, No. 11
Formation energy from raw total energies = -0.955 eV/atom



# 3
RbI2: optimized geometry, PBE-GGA.

The structure in POSCAR format:
```
RbI2
1.0
7.3805 0.0000 0.0000
3.6902 6.3917 0.0000
3.6902 2.1306 6.0261
I Rb
4 2
Cartesian
9.2256 5.3264 3.7663 I
7.3805 2.1306 3.7663 I
5.5354 5.3264 3.7663 I
7.3805 4.2611 0.7533 I
3.6902 2.1306 1.5065 Rb
0.0000 0.0000 0.0000 Rb
```

Symmetry = Fd-3m, No. 227
Formation energy from raw total energies = -0.619 eV/atom
Energy above the lowest structure with this stoichiometry = 298 meV per atom



# 4
RbI3: optimized geometry, PBE-GGA.

The structure in POSCAR format:
```
RbI3
1.0
-5.1569 1.8511 3.5280
-2.0718 -6.1749 0.2115
1.9567 -3.7242 10.8326
I Rb
6 2
Cartesian
0.0000 0.0000 0.0000 I
-4.9980 -6.9949 11.4108 I
-3.3422 -0.4206 5.1786 I
-1.1010 -4.6844 3.0423 I
-1.1029 -3.9963 9.5125 I
-3.4073 -2.0175 8.1152 I
-1.8648 -6.0305 6.4569 Rb
-3.6144 -2.1619 1.8697 Rb
```

Symmetry = I-42d, No. 122
Formation energy from raw total energies = -0.500 eV/atom



# 5
RbI2: optimized geometry, PBE-GGA.

The structure in POSCAR format:
```
RbI2
1.0
6.9870 0.0000 0.0000
0.0000 6.0564 0.0000
0.0000 0.0000 8.5036
Rb I
2 4
Cartesian
0.0000 0.0000 0.0000 Rb
3.4935 3.0282 4.2518 Rb
1.4094 0.0000 5.0427 I
5.5776 0.0000 3.4609 I
2.0841 3.0282 0.7909 I
4.9030 3.0282 7.7127 I
```

Symmetry = Pnnm, No. 58
Formation energy from raw total energies = -0.821 eV/atom
Energy above the lowest structure with this stoichiometry = 95 meV per atom



# 6
RbI6: optimized geometry, PBE-GGA.

The structure in POSCAR format:
```
RbI6
1.0
-2.9559 -7.6731 0.9712
4.5824 0.3412 -6.8879
4.6800 2.0019 6.5305
I Rb
6 1
Cartesian
5.0622 -0.2462 1.6967 I
5.0378 -0.6614 -1.6579 I
3.1288 -3.0802 -3.0477 I
1.2687 -4.6686 2.2717 I
1.2443 -5.0838 -1.0829 I
3.1777 -2.2498 3.6615 I
0.0000 0.0000 0.0000 Rb
```

Symmetry = Im-3m, No. 229
Formation energy from raw total energies = 0.042 eV/atom